Entry 1:
Computed, not measured: a relaxed structure of AcPr2NdSm4 at the PBE-GGA level of DFT.

Values from the calculation:
Total magnetic moment, μB/cell: 0.0
Final energy, eV per atom: -4.28
D(E_F), states/eV per atom: 2.37
ρ, g cm⁻³: 7.1

abc: 9.785 9.785 7.067
angles: 111.14 111.14 88.53
Element x y z (fractional)
Ac1 0.000 0.500 0.000
Ac2 0.500 0.000 0.500
Pr1 0.000 0.000 0.000
Pr2 0.000 0.000 0.500
Pr3 0.000 0.500 0.500
Pr4 0.500 0.000 0.000
Nd1 0.500 0.500 0.000
Nd2 0.500 0.500 0.500
Sm1 0.244 0.259 0.531
Sm2 0.251 0.749 0.514
Sm3 0.251 0.749 0.986
Sm4 0.259 0.244 0.031
Sm5 0.741 0.756 0.969
Sm6 0.749 0.251 0.014
Sm7 0.749 0.251 0.486
Sm8 0.756 0.741 0.469

Entry 2:
Computed, not measured: a relaxed structure of AcPr6Nd2Sm at the PBE-GGA level of DFT.

Values from the calculation:
Total magnetic moment, μB/cell: 0.0
Final energy, eV per atom: -4.59
D(E_F), states/eV per atom: 1.52
ρ, g cm⁻³: 6.8

abc: 9.192 9.192 10.014
angles: 93.49 93.49 118.18
Element x y z (fractional)
Ac1 0.023 0.977 0.750
Ac2 0.977 0.023 0.250
Pr1 0.017 0.562 0.686
Pr2 0.123 0.746 0.054
Pr3 0.254 0.877 0.446
Pr4 0.294 0.501 0.882
Pr5 0.438 0.983 0.814
Pr6 0.499 0.706 0.618
Pr7 0.501 0.294 0.382
Pr8 0.562 0.017 0.186
Pr9 0.706 0.499 0.118
Pr10 0.746 0.123 0.554
Pr11 0.877 0.254 0.946
Pr12 0.983 0.438 0.314
Nd1 0.195 0.307 0.545
Nd2 0.307 0.195 0.045
Nd3 0.693 0.805 0.955
Nd4 0.805 0.693 0.455
Sm1 0.409 0.591 0.250
Sm2 0.591 0.409 0.750

Entry 3:
Computed, not measured: a relaxed structure of AcPrNdSm at the PBE-GGA level of DFT.

Values from the calculation:
Energy above the lowest structure with this stoichiometry, eV per formula unit: 0.45
Total magnetic moment, μB/cell: 1.0
Final energy, eV per atom: -4.44
D(E_F), states/eV per atom: 2.55
ρ, g cm⁻³: 7.3

abc: 5.968 5.968 5.968
angles: 60.00 60.00 60.00
Element x y z (fractional)
Ac1 0.000 0.000 0.000
Pr1 0.750 0.750 0.750
Nd1 0.250 0.250 0.250
Sm1 0.500 0.500 0.500

Entry 4:
Computed, not measured: a relaxed structure of AcPr4NdSm2 at the PBE-GGA level of DFT.

Values from the calculation:
Total magnetic moment, μB/cell: 0.0
Final energy, eV per atom: -4.32
D(E_F), states/eV per atom: 2.19
ρ, g cm⁻³: 6.9

abc: 9.804 9.804 7.133
angles: 111.20 111.20 88.06
Element x y z (fractional)
Ac1 0.000 0.500 0.000
Ac2 0.500 0.000 0.500
Pr1 0.240 0.257 0.437
Pr2 0.248 0.751 0.515
Pr3 0.249 0.752 0.985
Pr4 0.257 0.240 0.937
Pr5 0.743 0.760 0.063
Pr6 0.751 0.248 0.015
Pr7 0.752 0.249 0.485
Pr8 0.760 0.743 0.563
Nd1 0.500 0.500 0.000
Nd2 0.500 0.500 0.500
Sm1 0.000 0.000 0.000
Sm2 0.000 0.000 0.500
Sm3 0.000 0.500 0.500
Sm4 0.500 0.000 0.000

Entry 5:
Computed, not measured: a relaxed structure of AcPrNdSm3 at the PBE-GGA level of DFT.

Values from the calculation:
Total magnetic moment, μB/cell: 0.0
Final energy, eV per atom: -4.44
D(E_F), states/eV per atom: 1.38
ρ, g cm⁻³: 7.3

abc: 10.791 10.791 7.223
angles: 90.56 90.56 31.49
Element x y z (fractional)
Ac1 0.147 0.147 0.038
Ac2 0.853 0.853 0.962
Pr1 0.446 0.446 0.726
Pr2 0.554 0.554 0.274
Nd1 0.145 0.145 0.486
Nd2 0.855 0.855 0.514
Sm1 0.019 0.019 0.744
Sm2 0.281 0.281 0.735
Sm3 0.337 0.337 0.254
Sm4 0.663 0.663 0.746
Sm5 0.719 0.719 0.265
Sm6 0.981 0.981 0.256

Entry 6:
Computed, not measured: a relaxed structure of AcPrNd4Sm2 at the PBE-GGA level of DFT.

Values from the calculation:
Total magnetic moment, μB/cell: 0.0
Final energy, eV per atom: -4.30
D(E_F), states/eV per atom: 2.14
ρ, g cm⁻³: 7.0

abc: 9.764 9.764 7.116
angles: 111.13 111.13 87.96
Element x y z (fractional)
Ac1 0.000 0.500 0.000
Ac2 0.500 0.000 0.500
Pr1 0.000 0.000 0.000
Pr2 0.000 0.000 0.500
Nd1 0.244 0.262 0.571
Nd2 0.252 0.747 0.514
Nd3 0.253 0.748 0.986
Nd4 0.262 0.244 0.071
Nd5 0.738 0.756 0.929
Nd6 0.747 0.252 0.014
Nd7 0.748 0.253 0.486
Nd8 0.756 0.738 0.429
Sm1 0.000 0.500 0.500
Sm2 0.500 0.000 0.000
Sm3 0.500 0.500 0.000
Sm4 0.500 0.500 0.500

Entry 7:
Computed, not measured: a relaxed structure of Ac2PrNd4Sm at the PBE-GGA level of DFT.

Values from the calculation:
Total magnetic moment, μB/cell: 0.0
Final energy, eV per atom: -4.56
D(E_F), states/eV per atom: 1.72
ρ, g cm⁻³: 7.3

abc: 6.535 3.777 12.372
angles: 90.00 100.31 90.00
Element x y z (fractional)
Ac1 0.000 0.000 0.000
Ac2 0.500 0.500 0.000
Pr1 0.000 0.500 0.500
Nd1 0.248 0.000 0.744
Nd2 0.254 0.500 0.257
Nd3 0.746 0.500 0.743
Nd4 0.752 0.000 0.256
Sm1 0.500 0.000 0.500

Entry 8:
Computed, not measured: a relaxed structure of AcPr2Nd3Sm6 at the PBE-GGA level of DFT.

Values from the calculation:
Total magnetic moment, μB/cell: 0.0
Final energy, eV per atom: -4.67
D(E_F), states/eV per atom: 1.44
ρ, g cm⁻³: 7.2

abc: 6.400 6.400 12.167
angles: 95.04 95.04 120.01
Element x y z (fractional)
Ac1 0.000 0.000 0.000
Pr1 0.333 0.667 0.000
Pr2 0.667 0.333 0.000
Nd1 0.167 0.833 0.500
Nd2 0.500 0.500 0.500
Nd3 0.833 0.167 0.500
Sm1 0.085 0.420 0.253
Sm2 0.250 0.250 0.747
Sm3 0.420 0.085 0.253
Sm4 0.580 0.915 0.747
Sm5 0.750 0.750 0.253
Sm6 0.915 0.580 0.747

Entry 9:
Computed, not measured: a relaxed structure of AcPr2Nd6Sm at the PBE-GGA level of DFT.

Values from the calculation:
Total magnetic moment, μB/cell: 0.0
Final energy, eV per atom: -4.59
D(E_F), states/eV per atom: 1.53
ρ, g cm⁻³: 6.9

abc: 9.180 9.180 9.962
angles: 93.31 93.31 118.42
Element x y z (fractional)
Ac1 0.023 0.977 0.750
Ac2 0.977 0.023 0.250
Pr1 0.194 0.309 0.544
Pr2 0.309 0.194 0.044
Pr3 0.691 0.806 0.956
Pr4 0.806 0.691 0.456
Nd1 0.020 0.564 0.686
Nd2 0.126 0.745 0.055
Nd3 0.255 0.874 0.445
Nd4 0.292 0.501 0.882
Nd5 0.436 0.980 0.814
Nd6 0.499 0.708 0.618
Nd7 0.501 0.292 0.382
Nd8 0.564 0.020 0.186
Nd9 0.708 0.499 0.118
Nd10 0.745 0.126 0.555
Nd11 0.874 0.255 0.945
Nd12 0.980 0.436 0.314
Sm1 0.409 0.591 0.250
Sm2 0.591 0.409 0.750

Entry 10:
Computed, not measured: a relaxed structure of AcPrNd2Sm2 at the PBE-GGA level of DFT.

Values from the calculation:
Total magnetic moment, μB/cell: 0.0
Final energy, eV per atom: -4.38
D(E_F), states/eV per atom: 2.01
ρ, g cm⁻³: 7.1

abc: 6.764 18.636 3.536
angles: 90.00 90.00 90.00
Element x y z (fractional)
Ac1 0.000 0.000 0.000
Ac2 0.500 0.500 0.500
Pr1 0.000 0.500 0.000
Pr2 0.500 0.000 0.500
Nd1 0.206 0.188 0.000
Nd2 0.294 0.688 0.500
Nd3 0.706 0.312 0.500
Nd4 0.794 0.812 0.000
Sm1 0.200 0.349 0.500
Sm2 0.300 0.849 0.000
Sm3 0.700 0.151 0.000
Sm4 0.800 0.651 0.500

Entry 11:
Computed, not measured: a relaxed structure of Ac2PrNdSm5 at the PBE-GGA level of DFT.

Values from the calculation:
Total magnetic moment, μB/cell: 0.0
Final energy, eV per atom: -4.46
D(E_F), states/eV per atom: 1.44
ρ, g cm⁻³: 7.4

abc: 10.695 10.695 11.073
angles: 90.00 90.00 148.10
Element x y z (fractional)
Ac1 0.112 0.888 0.500
Ac2 0.119 0.881 0.095
Ac3 0.881 0.119 0.595
Ac4 0.888 0.112 0.000
Pr1 0.414 0.586 0.230
Pr2 0.586 0.414 0.730
Nd1 0.210 0.790 0.777
Nd2 0.790 0.210 0.277
Sm1 0.020 0.980 0.798
Sm2 0.285 0.715 0.075
Sm3 0.297 0.703 0.472
Sm4 0.397 0.603 0.794
Sm5 0.479 0.521 0.510
Sm6 0.521 0.479 0.010
Sm7 0.603 0.397 0.294
Sm8 0.703 0.297 0.972
Sm9 0.715 0.285 0.575
Sm10 0.980 0.020 0.298

Entry 12:
Computed, not measured: a relaxed structure of Ac2Pr4Nd2Sm at the PBE-GGA level of DFT.

Values from the calculation:
Total magnetic moment, μB/cell: 0.0
Final energy, eV per atom: -4.59
D(E_F), states/eV per atom: 1.35
ρ, g cm⁻³: 7.1

abc: 9.989 9.989 10.125
angles: 115.16 115.16 21.92
Element x y z (fractional)
Ac1 0.147 0.147 0.167
Ac2 0.853 0.853 0.833
Pr1 0.183 0.183 0.829
Pr2 0.482 0.482 0.179
Pr3 0.518 0.518 0.821
Pr4 0.817 0.817 0.171
Nd1 0.335 0.335 0.496
Nd2 0.665 0.665 0.504
Sm1 0.000 0.000 0.500